Entry 1:
The following is a DFT calculation (GGA-PBE) of a geometry-optimized Nd6YZn2 structure.

Cell and atoms, written as POSCAR:
```
Nd6YZn2
1.0
3.6821 0.0000 0.5846
1.6245 6.2747 1.6562
0.0176 -0.1889 11.7772
Nd Zn Y
6 2 1
Cartesian
1.9766 2.9954 11.3268
4.7710 4.5137 5.6141
3.3476 3.0904 2.6912
2.4332 4.8129 8.4508
0.5532 1.5721 8.4039
2.8910 1.2729 5.5672
3.8591 5.5425 11.3579
1.4651 0.5433 2.6601
0.0000 0.0000 0.0000
```

The energy relative to the elements is -13.3 kJ/mol of atoms. As for the space-group type: No. 12. As for the density of states at the Fermi level: 9.455 states/eV/f.u. Its crystal system is monoclinic.

---

Entry 2:
The following is a DFT calculation (GGA-PBE) of a geometry-optimized NdY2Zn6 structure.

Cell and atoms, written as POSCAR:
```
NdY2Zn6
1.0
3.5641 0.0960 -0.1505
-0.3451 6.7831 -3.8482
0.3291 -0.0508 7.7987
Y Zn Nd
2 6 1
Cartesian
-0.1204 4.5052 0.0343
3.6685 2.3231 3.7658
1.9951 2.2780 6.4295
1.6551 6.7972 1.2530
1.8930 0.0311 2.5471
1.7712 4.5166 2.5468
1.7769 2.3117 1.2532
1.8821 4.4995 5.1692
0.0000 0.0000 0.0000
```

The energy relative to the elements is -36.4 kJ/mol of atoms. As for the space-group type: No. 191. As for the density of states at the Fermi level: 7.741 states/eV/f.u. Its crystal system is hexagonal.

---

Entry 3:
The following is a DFT calculation (GGA-PBE) of a geometry-optimized NdY6Zn structure.

Cell and atoms, written as POSCAR:
```
NdY6Zn
1.0
-1.0544 2.4798 -9.0220
5.7070 -1.5994 -6.0191
-0.4868 -2.8313 -5.6342
Y Nd Zn
6 1 1
Cartesian
1.9774 -2.7227 -7.2728
3.5110 -2.6200 -13.2541
4.2871 -1.6090 -16.5997
0.6547 0.6692 -7.4211
2.1883 0.7719 -13.4024
-0.1213 -0.3418 -4.0755
2.0829 -0.9754 -10.3376
0.0000 0.0000 0.0000
```

The energy relative to the elements is 3.0 kJ/mol of atoms. As for the space-group type: No. 148. As for the density of states at the Fermi level: 10.943 states/eV/f.u. Its crystal system is trigonal.

---

Entry 4:
The following is a DFT calculation (GGA-PBE) of a geometry-optimized Nd3Y2Zn3 structure.

Cell and atoms, written as POSCAR:
```
Nd3Y2Zn3
1.0
-0.7121 -3.4919 -0.9614
5.2226 -1.0927 0.1004
-3.0310 -0.4479 10.9581
Nd Zn Y
3 3 2
Cartesian
2.0711 -2.9428 2.0687
-0.3561 -1.7460 -0.4807
-0.5916 -2.0897 8.0284
1.6635 -4.3825 7.5996
2.6113 -0.5463 0.0502
-0.1840 -0.6501 2.4975
-0.7119 -3.0029 4.3481
2.1914 -2.0297 5.7490
```

The energy relative to the elements is -22.2 kJ/mol of atoms. As for the space-group type: No. 71. As for the density of states at the Fermi level: 9.947 states/eV/f.u. Its crystal system is orthorhombic.

---

Entry 5:
The following is a DFT calculation (GGA-PBE) of a geometry-optimized Nd3Y4Zn structure.

Cell and atoms, written as POSCAR:
```
Nd3Y4Zn
1.0
-2.2541 1.4111 2.4357
-2.5778 0.2189 -2.5124
-6.0037 -17.5797 4.6286
Nd Y Zn
3 4 1
Cartesian
-7.0402 -12.7253 3.5267
-5.4178 -7.9748 2.2759
-3.7955 -3.2244 1.0252
-5.4491 -15.9557 4.2010
-0.5546 -1.6240 0.4276
-3.8143 -11.1687 2.9406
-2.1894 -6.4110 1.6879
-2.4160 0.8150 -0.0383
```

The energy relative to the elements is -7.5 kJ/mol of atoms. As for the space-group type: No. 123. As for the density of states at the Fermi level: 10.095 states/eV/f.u. Its crystal system is tetragonal.

---

Entry 6:
The following is a DFT calculation (GGA-PBE) of a geometry-optimized Nd2YZn structure.

Cell and atoms, written as POSCAR:
```
Nd2YZn
1.0
-2.9117 -1.7427 -1.4200
-0.0884 -2.2331 2.9218
-5.3496 5.5894 4.1099
Y Nd Zn
1 2 1
Cartesian
-4.1749 0.8068 2.8059
-1.1197 1.1699 0.8603
-4.2299 4.4195 3.2496
-1.5001 -1.9879 0.7509
```

The energy relative to the elements is -13.6 kJ/mol of atoms. As for the space-group type: No. 123. The calculation puts the relative energy among the computed polymorphs at 19 meV per atom. As for the density of states at the Fermi level: 4.164 states/eV/f.u. Its crystal system is tetragonal.

---

Entry 7:
The following is a DFT calculation (GGA-PBE) of a geometry-optimized Nd3YZn structure.

Cell and atoms, written as POSCAR:
```
Nd3YZn
1.0
7.5262 -0.0031 -0.2301
-2.0621 7.2382 0.2301
-3.2131 -3.2542 6.0487
Zn Y Nd
2 2 6
Cartesian
0.3280 -0.2477 3.7080
1.9229 4.2286 2.3407
2.7093 -2.0461 4.4858
-0.4584 6.0270 1.5630
-3.1460 4.5587 4.6710
2.2807 1.7756 4.4409
5.3969 -0.5778 1.3777
4.0041 2.6568 0.9838
-1.7532 1.3240 5.0649
-0.0298 2.2053 1.6078
```

The energy relative to the elements is 5.3 kJ/mol of atoms. As for the space-group type: No. 12. As for the density of states at the Fermi level: 7.784 states/eV/f.u. Its crystal system is monoclinic.

---

Entry 8:
The following is a DFT calculation (GGA-PBE) of a geometry-optimized NdY6Zn2 structure.

Cell and atoms, written as POSCAR:
```
NdY6Zn2
1.0
3.6061 0.0000 0.5725
1.5841 6.1284 1.6653
-0.0019 -0.1359 11.6548
Zn Y Nd
2 6 1
Cartesian
1.4017 0.5579 2.8140
3.7865 5.4346 11.0786
1.9176 2.9855 11.2077
4.6566 4.3659 5.5985
2.8141 1.2780 5.5609
2.3742 4.7145 8.3317
3.2707 3.0070 2.6849
0.5317 1.6266 8.2941
0.0000 0.0000 0.0000
```

The energy relative to the elements is -13.8 kJ/mol of atoms. As for the space-group type: No. 12. As for the density of states at the Fermi level: 11.601 states/eV/f.u. Its crystal system is monoclinic.

---

Entry 9:
The following is a DFT calculation (GGA-PBE) of a geometry-optimized Nd2YZn structure.

Cell and atoms, written as POSCAR:
```
Nd2YZn
1.0
5.1618 0.0000 0.0000
0.0000 5.1618 0.0000
-2.5809 -2.5809 8.7689
Zn Nd Y
2 4 2
Cartesian
2.5809 0.0000 4.3845
0.0000 2.5809 4.3845
0.0000 2.5809 0.0000
2.5809 2.5809 2.5309
0.0000 0.0000 6.2380
2.5809 0.0000 0.0000
2.5809 2.5809 6.1264
0.0000 0.0000 2.6425
```

The energy relative to the elements is -15.4 kJ/mol of atoms. As for the space-group type: No. 139. The calculation puts the relative energy among the computed polymorphs at 0 meV per atom. As for the density of states at the Fermi level: 4.435 states/eV/f.u. Its crystal system is tetragonal.

---

Entry 10:
The following is a DFT calculation (GGA-PBE) of a geometry-optimized Nd4YZn structure.

Cell and atoms, written as POSCAR:
```
Nd4YZn
1.0
3.6699 0.0000 0.0000
0.0000 3.6699 0.0000
0.0000 0.0000 14.0114
Zn Nd Y
1 4 1
Cartesian
1.8349 1.8349 7.0057
1.8349 1.8349 11.4709
0.0000 0.0000 5.1644
1.8349 1.8349 2.5405
0.0000 0.0000 8.8470
0.0000 0.0000 0.0000
```

The energy relative to the elements is -9.0 kJ/mol of atoms. As for the space-group type: No. 123. As for the density of states at the Fermi level: 6.960 states/eV/f.u. Its crystal system is tetragonal.

---

Entry 11:
The following is a DFT calculation (GGA-PBE) of a geometry-optimized Nd9Y4Zn11 structure.

Cell and atoms, written as POSCAR:
```
Nd9Y4Zn11
1.0
-0.0199 2.0611 -2.8762
-6.6342 -9.5293 -6.7831
-8.7952 8.2395 5.9653
Zn Y Nd
11 4 9
Cartesian
-11.3731 -4.1711 -2.9106
-7.4279 -3.0033 -2.1009
-12.1485 2.2049 1.6639
-4.0563 2.8813 2.0928
-7.0019 -6.5061 -4.6141
-8.4275 5.2163 3.7963
-8.0015 1.7135 1.2832
-3.7392 -0.3126 -0.1982
0.0000 0.0000 0.0000
-11.6903 -0.9772 -0.6196
-3.2809 -3.4946 -2.4817
-5.4506 2.2078 -0.5570
-5.0577 -1.0234 -2.8751
-9.9987 -1.4364 -3.1370
-10.3916 1.7947 -0.8188
-5.4247 -3.7462 -4.8239
-13.7938 1.4406 -1.0492
-6.4659 4.8151 1.3185
-2.0316 2.4238 -0.4258
-7.7246 0.3857 -1.8470
-13.4177 -1.6524 -3.2682
-10.0246 4.5176 1.1299
-1.6555 -0.6692 -2.6448
-8.9834 -4.0437 -5.0125
```

The energy relative to the elements is -22.5 kJ/mol of atoms. As for the space-group type: No. 65. As for the density of states at the Fermi level: 23.331 states/eV/f.u. Its crystal system is orthorhombic.

---

Entry 12:
The following is a DFT calculation (GGA-PBE) of a geometry-optimized Nd2YZn3 structure.

Cell and atoms, written as POSCAR:
```
Nd2YZn3
1.0
5.1583 0.0000 0.0000
-2.5791 4.4672 0.0000
0.0000 0.0000 6.3313
Zn Nd Y
3 2 1
Cartesian
2.5791 1.4891 5.2915
0.0000 0.0000 3.1656
0.0000 2.9781 1.0398
2.5791 1.4891 2.0708
0.0000 2.9781 4.2605
0.0000 0.0000 0.0000
```

The energy relative to the elements is -31.1 kJ/mol of atoms. As for the space-group type: No. 164. As for the density of states at the Fermi level: 6.406 states/eV/f.u. Its crystal system is trigonal.

---

Entry 13:
The following is a DFT calculation (GGA-PBE) of a geometry-optimized Nd4Y5Zn structure.

Cell and atoms, written as POSCAR:
```
Nd4Y5Zn
1.0
3.6149 0.0000 0.0000
0.0000 3.6149 0.0000
0.0000 0.0000 24.2082
Y Nd Zn
5 4 1
Cartesian
1.8075 1.8075 6.9483
1.8075 1.8075 17.2598
1.8075 1.8075 22.4527
1.8075 1.8075 1.7555
1.8075 1.8075 12.1041
0.0000 0.0000 9.5378
0.0000 0.0000 14.6704
0.0000 0.0000 19.8247
0.0000 0.0000 4.3835
0.0000 0.0000 0.0000
```

The energy relative to the elements is -5.7 kJ/mol of atoms. As for the space-group type: No. 123. As for the density of states at the Fermi level: 12.916 states/eV/f.u. Its crystal system is tetragonal.

---

Entry 14:
The following is a DFT calculation (GGA-PBE) of a geometry-optimized NdY4Zn structure.

Cell and atoms, written as POSCAR:
```
NdY4Zn
1.0
-2.7332 -1.5282 -1.7646
-0.2912 -2.4727 2.5924
-8.9356 8.1569 6.7766
Nd Y Zn
1 4 1
Cartesian
0.0000 0.0000 0.0000
-3.1724 -0.4849 1.6730
-8.7876 4.6410 5.9314
-3.3352 3.0446 2.5294
-5.6004 5.1123 4.2472
-5.9800 2.0780 3.8022
```

The energy relative to the elements is -10.1 kJ/mol of atoms. As for the space-group type: No. 123. The calculation puts the relative energy among the computed polymorphs at 0 meV per atom. As for the density of states at the Fermi level: 8.730 states/eV/f.u. Its crystal system is tetragonal.

---

Entry 15:
The following is a DFT calculation (GGA-PBE) of a geometry-optimized Nd3YZn2 structure.

Cell and atoms, written as POSCAR:
```
Nd3YZn2
1.0
-1.9470 0.2810 -6.7699
-5.2423 -4.9362 1.3028
-1.1102 7.7406 4.3114
Nd Y Zn
6 2 4
Cartesian
-6.0711 -1.2408 1.6945
-3.4499 1.2273 1.0431
-4.9052 -3.5616 -2.4079
-2.2285 4.3263 -2.8503
-2.2841 -1.0935 -3.0593
-4.8496 1.8582 -2.1989
-2.6212 -2.4681 0.6514
0.0000 0.0000 0.0000
-5.6364 1.4059 3.1970
-2.6632 1.6796 -4.3527
-3.8201 3.9902 -0.2533
-4.4794 -0.9047 -0.9025
```

The energy relative to the elements is 4.7 kJ/mol of atoms. As for the space-group type: No. 72. The calculation puts the relative energy among the computed polymorphs at 248 meV per atom. As for the density of states at the Fermi level: 10.633 states/eV/f.u. Its crystal system is orthorhombic.

---

Entry 16:
The following is a DFT calculation (GGA-PBE) of a geometry-optimized Nd2Y6Zn structure.

Cell and atoms, written as POSCAR:
```
Nd2Y6Zn
1.0
-4.9862 2.1865 -0.4527
-3.6043 -8.7598 -2.6122
-1.8586 -2.1891 9.9058
Y Nd Zn
12 4 2
Cartesian
-5.5168 -4.6566 5.3182
-6.4923 -1.2354 -0.3908
-4.9011 -2.6006 8.4647
-3.5509 -7.2969 3.8694
-5.5479 -6.1619 -1.6238
-3.9567 -7.5271 7.2317
-6.8982 -1.4656 2.9715
-5.3897 1.6406 1.3642
-6.3497 -7.3544 1.4514
-5.0593 -10.4031 5.4767
-4.0994 -1.4081 5.3896
-4.9322 -4.1058 1.5227
-2.9451 -6.5769 0.6648
-7.5040 -2.1855 6.1761
-3.6394 -1.1096 1.7698
-6.8096 -7.6528 5.0711
-4.2952 -3.2866 -1.5324
-0.9293 -1.0946 4.9529
```

The energy relative to the elements is 1.9 kJ/mol of atoms. As for the space-group type: No. 58. As for the density of states at the Fermi level: 14.352 states/eV/f.u. Its crystal system is orthorhombic.

---

Entry 17:
The following is a DFT calculation (GGA-PBE) of a geometry-optimized Nd5YZn4 structure.

Cell and atoms, written as POSCAR:
```
Nd5YZn4
1.0
-2.7363 -2.2474 1.0358
1.1558 -2.5261 -2.4277
11.7498 -7.9264 13.8415
Zn Nd Y
4 5 1
Cartesian
9.1555 -6.1763 10.7854
2.5943 -1.7501 3.0561
6.9728 -4.7039 8.2142
4.7770 -3.2225 5.6274
9.4403 -9.2883 11.3559
7.2670 -7.8222 8.7957
0.7290 -3.4116 1.0938
2.9023 -4.8777 3.6540
5.0846 -6.3500 6.2248
0.0000 0.0000 0.0000
```

The energy relative to the elements is -23.3 kJ/mol of atoms. As for the space-group type: No. 123. As for the density of states at the Fermi level: 11.508 states/eV/f.u. Its crystal system is tetragonal.

---

Entry 18:
The following is a DFT calculation (GGA-PBE) of a geometry-optimized NdYZn2 structure.

Cell and atoms, written as POSCAR:
```
NdYZn2
1.0
-0.3752 0.7368 3.5178
2.6773 -2.3024 0.7678
4.8729 5.4583 -0.6236
Zn Y Nd
2 1 1
Cartesian
3.7346 4.1832 -0.4779
1.1383 1.2751 -0.1457
1.1511 -0.7828 2.1428
3.5875 1.9463 1.8310
```

The energy relative to the elements is -31.6 kJ/mol of atoms. As for the space-group type: No. 123. The calculation puts the relative energy among the computed polymorphs at 2 meV per atom. As for the density of states at the Fermi level: 4.609 states/eV/f.u. Its crystal system is tetragonal.

---

Entry 19:
The following is a DFT calculation (GGA-PBE) of a geometry-optimized NdY4Zn structure.

Cell and atoms, written as POSCAR:
```
NdY4Zn
1.0
6.1990 -0.6235 0.0000
-2.4099 8.6910 0.0000
-1.8946 -4.0338 6.9090
Y Nd Zn
8 2 2
Cartesian
3.0788 -1.1934 2.5073
-1.7296 -1.6964 5.5832
-1.1843 5.2272 4.4017
1.8739 3.1521 4.4017
0.0207 0.8817 2.5073
3.2644 2.0257 1.3258
3.6242 5.7301 1.3258
-1.3699 2.0081 5.5832
1.5497 -0.1559 5.3447
0.3448 4.1897 1.5643
4.6492 -0.4676 0.0184
-2.7547 4.5014 6.8906
```

The energy relative to the elements is -1.6 kJ/mol of atoms. As for the space-group type: No. 15. The calculation puts the relative energy among the computed polymorphs at 89 meV per atom. As for the density of states at the Fermi level: 9.845 states/eV/f.u. Its crystal system is monoclinic.

---

Entry 20:
The following is a DFT calculation (GGA-PBE) of a geometry-optimized Nd2YZn structure.

Cell and atoms, written as POSCAR:
```
Nd2YZn
1.0
3.6545 0.0000 0.0000
1.8273 3.1649 0.0000
1.8273 1.0550 10.5997
Zn Y Nd
1 1 2
Cartesian
0.0000 0.0000 0.0000
3.6545 2.1099 5.2998
5.4818 3.1649 8.2725
1.8273 1.0550 2.3271
```

The energy relative to the elements is -2.3 kJ/mol of atoms. As for the space-group type: No. 166. The calculation puts the relative energy among the computed polymorphs at 136 meV per atom. As for the density of states at the Fermi level: 4.477 states/eV/f.u. Its crystal system is trigonal.